Below is crystalline GaPd3Pb at its relaxed geometry, with properties calculated at the PBE level.

Unit cell a=5.8062 b=4.1919 c=7.4545 alpha=90.00 beta=99.63 gamma=90.00
Closest atoms and distances in Å follow each position.
Atoms (fractional coordinates):
Ga 0.2304 0.2500 0.0808  7 Pd 2.52-2.67
Ga 0.7696 0.7500 0.9192  7 Pd 2.52-2.67
Pd 0.0508 0.7500 0.2178  3 Ga 2.53-2.62, 1 Pd 2.79
Pd 0.3330 0.2500 0.4252  1 Ga 2.54, 1 Pb 2.83
Pd 0.4853 0.2500 0.8387  3 Ga 2.52-2.67, 1 Pd 2.79
Pd 0.5147 0.7500 0.1613  3 Ga 2.52-2.67, 1 Pd 2.79
Pd 0.6670 0.7500 0.5748  1 Ga 2.54, 1 Pb 2.83
Pd 0.9492 0.2500 0.7822  3 Ga 2.53-2.62, 1 Pd 2.79
Pb 0.2034 0.7500 0.6473  8 Pd 2.83-3.07
Pb 0.7966 0.2500 0.3527  8 Pd 2.83-3.07

Summary:
Formation energy from the elements, eV per formula unit: -2.0
Spin magnetization, μB per cell: 0.0
SG: P2_1/m
Electronic total energy, eV per cell: -48.7
Calculated density, g cm⁻³: 11.07